VASP calculation (PBE) on a geometry-optimized In12Sn5Se3 structure.

Summary:
calculated density = 5.5 g/cm3
electronic total energy = -246.55 eV per cell
formation energy (no corrections) = 163 kJ/mol of formula units
total magnetic moment = 0.00 μB/atom

Lattice parameters (Å, degrees): 15.1001 15.1001 15.1001 109.47 109.47 109.47
Closest atoms and distances in Å follow each position.
Fractional positions:
In  0.0648  0.2306  0.1429  2 Sn 2.91-3.01, 2 Se 3.08-3.20, 1 In 3.14
In  0.0648  0.3341  0.9219  2 Sn 2.91-3.01, 2 Se 3.08-3.20, 1 In 3.14
In  0.0781  0.6429  0.4122  2 Sn 2.91-3.01, 2 Se 3.08-3.20, 1 In 3.14
In  0.0781  0.9352  0.6659  2 Sn 2.91-3.01, 2 Se 3.08-3.20, 1 In 3.14
In  0.0878  0.7306  0.6659  2 Sn 2.91-3.01, 2 Se 3.08-3.20, 1 In 3.14
In  0.0878  0.8571  0.4219  2 Sn 2.91-3.01, 2 Se 3.08-3.20, 1 In 3.14
In  0.1429  0.0648  0.2306  2 Sn 2.91-3.01, 2 Se 3.08-3.20, 1 In 3.14
In  0.1429  0.5781  0.9122  2 Sn 2.91-3.01, 2 Se 3.08-3.20, 1 In 3.14
In  0.1659  0.2306  0.5878  2 Sn 2.91-3.01, 2 Se 3.08-3.20, 1 In 3.14
In  0.1659  0.4352  0.5781  2 Sn 2.91-3.01, 2 Se 3.08-3.20, 1 In 3.14
In  0.2306  0.1429  0.0648  2 Sn 2.91-3.01, 2 Se 3.08-3.20, 1 In 3.14
In  0.2306  0.5878  0.1659  2 Sn 2.91-3.01, 2 Se 3.08-3.20, 1 In 3.14
In  0.2694  0.3341  0.9122  2 Sn 2.91-3.01, 2 Se 3.08-3.20, 1 In 3.14
In  0.2694  0.4352  0.3571  2 Sn 2.91-3.01, 2 Se 3.08-3.20, 1 In 3.14
In  0.3341  0.9122  0.2694  2 Sn 2.91-3.01, 2 Se 3.08-3.20, 1 In 3.14
In  0.3341  0.9219  0.0648  2 Sn 2.91-3.01, 2 Se 3.08-3.20, 1 In 3.14
In  0.3571  0.2694  0.4352  2 Sn 2.91-3.01, 2 Se 3.08-3.20, 1 In 3.14
In  0.3571  0.5878  0.9219  2 Sn 2.91-3.01, 2 Se 3.08-3.20, 1 In 3.14
In  0.4122  0.0781  0.6429  2 Sn 2.91-3.01, 2 Se 3.08-3.20, 1 In 3.14
In  0.4122  0.8341  0.7694  2 Sn 2.91-3.01, 2 Se 3.08-3.20, 1 In 3.14
In  0.4219  0.0878  0.8571  2 Sn 2.91-3.01, 2 Se 3.08-3.20, 1 In 3.14
In  0.4219  0.8341  0.5648  2 Sn 2.91-3.01, 2 Se 3.08-3.20, 1 In 3.14
In  0.4352  0.3571  0.2694  2 Sn 2.91-3.01, 2 Se 3.08-3.20, 1 In 3.14
In  0.4352  0.5781  0.1659  2 Sn 2.91-3.01, 2 Se 3.08-3.20, 1 In 3.14
In  0.5648  0.4219  0.8341  2 Sn 2.91-3.01, 2 Se 3.08-3.20, 1 In 3.14
In  0.5648  0.6429  0.7306  2 Sn 2.91-3.01, 2 Se 3.08-3.20, 1 In 3.14
In  0.5781  0.1659  0.4352  2 Sn 2.91-3.01, 2 Se 3.08-3.20, 1 In 3.14
In  0.5781  0.9122  0.1429  2 Sn 2.91-3.01, 2 Se 3.08-3.20, 1 In 3.14
In  0.5878  0.1659  0.2306  2 Sn 2.91-3.01, 2 Se 3.08-3.20, 1 In 3.14
In  0.5878  0.9219  0.3571  2 Sn 2.91-3.01, 2 Se 3.08-3.20, 1 In 3.14
In  0.6429  0.4122  0.0781  2 Sn 2.91-3.01, 2 Se 3.08-3.20, 1 In 3.14
In  0.6429  0.7306  0.5648  2 Sn 2.91-3.01, 2 Se 3.08-3.20, 1 In 3.14
In  0.6659  0.0781  0.9352  2 Sn 2.91-3.01, 2 Se 3.08-3.20, 1 In 3.14
In  0.6659  0.0878  0.7306  2 Sn 2.91-3.01, 2 Se 3.08-3.20, 1 In 3.14
In  0.7306  0.5648  0.6429  2 Sn 2.91-3.01, 2 Se 3.08-3.20, 1 In 3.14
In  0.7306  0.6659  0.0878  2 Sn 2.91-3.01, 2 Se 3.08-3.20, 1 In 3.14
In  0.7694  0.4122  0.8341  2 Sn 2.91-3.01, 2 Se 3.08-3.20, 1 In 3.14
In  0.7694  0.8571  0.9352  2 Sn 2.91-3.01, 2 Se 3.08-3.20, 1 In 3.14
In  0.8341  0.5648  0.4219  2 Sn 2.91-3.01, 2 Se 3.08-3.20, 1 In 3.14
In  0.8341  0.7694  0.4122  2 Sn 2.91-3.01, 2 Se 3.08-3.20, 1 In 3.14
In  0.8571  0.4219  0.0878  2 Sn 2.91-3.01, 2 Se 3.08-3.20, 1 In 3.14
In  0.8571  0.9352  0.7694  2 Sn 2.91-3.01, 2 Se 3.08-3.20, 1 In 3.14
In  0.9122  0.1429  0.5781  2 Sn 2.91-3.01, 2 Se 3.08-3.20, 1 In 3.14
In  0.9122  0.2694  0.3341  2 Sn 2.91-3.01, 2 Se 3.08-3.20, 1 In 3.14
In  0.9219  0.0648  0.3341  2 Sn 2.91-3.01, 2 Se 3.08-3.20, 1 In 3.14
In  0.9219  0.3571  0.5878  2 Sn 2.91-3.01, 2 Se 3.08-3.20, 1 In 3.14
In  0.9352  0.6659  0.0781  2 Sn 2.91-3.01, 2 Se 3.08-3.20, 1 In 3.14
In  0.9352  0.7694  0.8571  2 Sn 2.91-3.01, 2 Se 3.08-3.20, 1 In 3.14
Sn  0.0000  0.0000  0.0000  6 In 3.01
Sn  0.0000  0.0000  0.5000  6 In 3.01
Sn  0.0000  0.5000  0.0000  6 In 3.01
Sn  0.0000  0.5000  0.5000  6 In 3.01
Sn  0.1250  0.7500  0.8750  4 In 2.91
Sn  0.1250  0.8750  0.2500  4 In 2.91
Sn  0.2500  0.1250  0.8750  4 In 2.91
Sn  0.2500  0.6250  0.3750  4 In 2.91
Sn  0.3750  0.2500  0.6250  4 In 2.91
Sn  0.3750  0.6250  0.7500  4 In 2.91
Sn  0.5000  0.0000  0.0000  6 In 3.01
Sn  0.5000  0.0000  0.5000  6 In 3.01
Sn  0.5000  0.5000  0.0000  6 In 3.01
Sn  0.5000  0.5000  0.5000  6 In 3.01
Sn  0.6250  0.3750  0.2500  4 In 2.91
Sn  0.6250  0.7500  0.3750  4 In 2.91
Sn  0.7500  0.3750  0.6250  4 In 2.91
Sn  0.7500  0.8750  0.1250  4 In 2.91
Sn  0.8750  0.1250  0.7500  4 In 2.91
Sn  0.8750  0.2500  0.1250  4 In 2.91
Se  0.1250  0.2500  0.3750  8 In 3.08-3.20
Se  0.1250  0.3750  0.7500  8 In 3.08-3.20
Se  0.2500  0.3750  0.1250  8 In 3.08-3.20
Se  0.2500  0.8750  0.6250  8 In 3.08-3.20
Se  0.3750  0.1250  0.2500  8 In 3.08-3.20
Se  0.3750  0.7500  0.1250  8 In 3.08-3.20
Se  0.6250  0.2500  0.8750  8 In 3.08-3.20
Se  0.6250  0.8750  0.7500  8 In 3.08-3.20
Se  0.7500  0.1250  0.3750  8 In 3.08-3.20
Se  0.7500  0.6250  0.8750  8 In 3.08-3.20
Se  0.8750  0.6250  0.2500  8 In 3.08-3.20
Se  0.8750  0.7500  0.6250  8 In 3.08-3.20